# 1
Below is K2CaYF6 after structural relaxation, with properties calculated at the PBE level.

```
data_K2CaYF6
_cell_length_a 6.448
_cell_length_b 6.473
_cell_length_c 9.133
_cell_angle_alpha 90.00
_cell_angle_beta 90.00
_cell_angle_gamma 90.00
_space_group_name_H-M_alt 'I m m m'
_space_group_IT_number 71
_space_group_name_Hall '-I 2 2'
loop_
_atom_site_label
_atom_site_type_symbol
_atom_site_fract_x
_atom_site_fract_y
_atom_site_fract_z
K1 K 0.000 0.000 0.250
Ca1 Ca 0.000 0.500 0.000
Y1 Y 0.000 0.500 0.500
F1 F 0.000 0.500 0.256
F2 F 0.244 0.256 0.500
```

# 2
Below is KCaYF6 after structural relaxation, with properties calculated at the PBE level.

```
data_KCaYF6
_cell_length_a 6.1427
_cell_length_b 6.1427
_cell_length_c 10.4717
_cell_angle_alpha 90.00
_cell_angle_beta 90.00
_cell_angle_gamma 120.00
_space_group_name_H-M_alt 'P -3 1 c'
_space_group_IT_number 163
_space_group_name_Hall '-P 3 2c'
loop_
_atom_site_label
_atom_site_type_symbol
_atom_site_fract_x
_atom_site_fract_y
_atom_site_fract_z
K1 K 0.0000 0.0000 0.0000
Ca1 Ca 0.3333 0.6667 0.2500
Y1 Y 0.3333 0.6667 0.7500
F1 F 0.0098 0.3756 0.6424
```

Ordered magnetization results: 0.0 0.3; unit μB/cell.
Ordered energy relative to the elements, uncorrected results: -3.277 -3.733; unit eV/atom.